<A>
# KO4 (PBE, optimized geometry)
data_KO4
_chemical_formula_sum 'K1 O4'
_cell_length_a 5.115
_cell_length_b 5.115
_cell_length_c 5.115
_cell_angle_alpha 90.00
_cell_angle_beta 90.00
_cell_angle_gamma 90.00
_symmetry_space_group_name_H-M 'P m -3 m'
_symmetry_Int_Tables_number 221
_symmetry_space_group_name_Hall '-P 4 2 3'
loop_
_atom_site_label
_atom_site_type_symbol
_atom_site_fract_x
_atom_site_fract_y
_atom_site_fract_z
K1 K 0.000 0.000 0.000
O1 O 0.000 0.000 0.500
O2 O 0.500 0.500 0.500
# Total magnetic moment in μB/atom: 1.400
# N(E_F) in states/eV/atom: 1.794
# V in A^3/atom: 26.77

<B>
# KO4 (PBE, optimized geometry)
data_KO4
_chemical_formula_sum 'K4 O16'
_cell_length_a 9.565
_cell_length_b 9.565
_cell_length_c 3.789
_cell_angle_alpha 90.00
_cell_angle_beta 90.00
_cell_angle_gamma 90.00
_symmetry_space_group_name_H-M 'P 4/m b m'
_symmetry_Int_Tables_number 127
_symmetry_space_group_name_Hall '-P 4 2ab'
loop_
_atom_site_label
_atom_site_type_symbol
_atom_site_fract_x
_atom_site_fract_y
_atom_site_fract_z
K1 K 0.200 0.300 0.000
O1 O 0.000 0.000 0.163
O2 O 0.066 0.737 0.500
O3 O 0.096 0.596 0.500
# Total magnetic moment in μB/atom: 0.404
# N(E_F) in states/eV/atom: 0.112
# V in A^3/atom: 17.33

The winner here is <B>, beating the second structure by 187.1 kJ/mol of atoms.

<A>
# K4O (PBE, optimized geometry)
data_K4O
_chemical_formula_sum 'K32 O8'
_cell_length_a 13.670
_cell_length_b 13.739
_cell_length_c 9.101
_cell_angle_alpha 90.00
_cell_angle_beta 90.00
_cell_angle_gamma 90.00
_symmetry_space_group_name_H-M 'F d d 2'
_symmetry_Int_Tables_number 43
_symmetry_space_group_name_Hall 'F 2 -2d'
loop_
_atom_site_label
_atom_site_type_symbol
_atom_site_fract_x
_atom_site_fract_y
_atom_site_fract_z
K1 K 0.097 0.095 0.000
K2 K 0.098 0.097 0.418
O1 O 0.000 0.000 0.194
# Total magnetic moment in μB/atom: 0.000
# N(E_F) in states/eV/atom: 0.418
# V in A^3/atom: 42.73

<B>
# K4O (PBE, optimized geometry)
data_K4O
_chemical_formula_sum 'K4 O1'
_cell_length_a 5.806
_cell_length_b 5.806
_cell_length_c 5.806
_cell_angle_alpha 90.00
_cell_angle_beta 90.00
_cell_angle_gamma 90.00
_symmetry_space_group_name_H-M 'P m -3 m'
_symmetry_Int_Tables_number 221
_symmetry_space_group_name_Hall '-P 4 2 3'
loop_
_atom_site_label
_atom_site_type_symbol
_atom_site_fract_x
_atom_site_fract_y
_atom_site_fract_z
K1 K 0.000 0.000 0.000
K2 K 0.000 0.500 0.500
O1 O 0.500 0.500 0.500
# Total magnetic moment in μB/atom: 0.000
# N(E_F) in states/eV/atom: 0.331
# V in A^3/atom: 39.15

The winner here is <A>, beating the second structure by 11.5 kJ/mol of atoms.

<A>
# K2OsO5 (PBE, optimized geometry)
data_K2OsO5
_chemical_formula_sum 'K12 Os6 O30'
_cell_length_a 10.9799
_cell_length_b 10.9799
_cell_length_c 8.3678
_cell_angle_alpha 90.00
_cell_angle_beta 90.00
_cell_angle_gamma 120.00
_symmetry_space_group_name_H-M 'P 63/m'
_symmetry_Int_Tables_number 176
_symmetry_space_group_name_Hall '-P 6c'
loop_
_atom_site_label
_atom_site_type_symbol
_atom_site_fract_x
_atom_site_fract_y
_atom_site_fract_z
K1 K 0.0000 0.0000 0.0000
K2 K 0.0437 0.3476 0.2500
K3 K 0.3333 0.6667 0.5173
Os1 Os 0.0433 0.3596 0.7500
O1 O 0.0281 0.8311 0.2500
O2 O 0.1264 0.5519 0.7500
O3 O 0.1284 0.6589 0.2500
O4 O 0.1302 0.3703 0.5650
# Total magnetic moment in μB/atom: 0.000
# N(E_F) in states/eV/atom: 0.000
# V in A^3/atom: 18.20

<B>
# K2OsO5 (PBE, optimized geometry)
data_K2OsO5
_chemical_formula_sum 'K4 Os2 O10'
_cell_length_a 8.003
_cell_length_b 8.470
_cell_length_c 6.256
_cell_angle_alpha 90.00
_cell_angle_beta 129.72
_cell_angle_gamma 90.00
_symmetry_space_group_name_H-M 'C 1 m 1'
_symmetry_Int_Tables_number 8
loop_
_symmetry_equiv_pos_as_xyz
'x,y,z'
'x,-y,z'
'x+1/2,y+1/2,z'
'x+1/2,-y+1/2,z'
loop_
_atom_site_label
_atom_site_type_symbol
_atom_site_fract_x
_atom_site_fract_y
_atom_site_fract_z
K1 K 0.000 0.250 0.000
Os1 Os 0.493 0.000 0.500
O1 O 0.175 0.500 0.883
O2 O 0.213 0.500 0.499
O3 O 0.291 0.000 0.117
O4 O 0.388 0.187 0.500
# Total magnetic moment in μB/atom: 0.006
# N(E_F) in states/eV/atom: 0.000
# V in A^3/atom: 20.39

The winner here is <A>, beating the second structure by 3.1 kJ/mol of atoms.

<A>
# K2Os2O7 (PBE, optimized geometry)
data_K2Os2O7
_chemical_formula_sum 'K4 Os4 O14'
_cell_length_a 6.416
_cell_length_b 7.361
_cell_length_c 6.240
_cell_angle_alpha 90.00
_cell_angle_beta 90.00
_cell_angle_gamma 90.00
_symmetry_space_group_name_H-M 'C m m m'
_symmetry_Int_Tables_number 65
_symmetry_space_group_name_Hall '-C 2 2'
loop_
_atom_site_label
_atom_site_type_symbol
_atom_site_fract_x
_atom_site_fract_y
_atom_site_fract_z
K1 K 0.234 0.000 0.000
Os1 Os 0.000 0.281 0.500
O1 O 0.000 0.000 0.500
O2 O 0.000 0.500 0.322
O3 O 0.250 0.250 0.309
# Total magnetic moment in μB/atom: 0.000
# N(E_F) in states/eV/atom: 0.302
# V in A^3/atom: 13.40

<B>
# K2Os2O7 (PBE, optimized geometry)
data_K2Os2O7
_chemical_formula_sum 'K4 Os4 O14'
_cell_length_a 8.192
_cell_length_b 10.692
_cell_length_c 5.290
_cell_angle_alpha 90.00
_cell_angle_beta 95.03
_cell_angle_gamma 90.00
_symmetry_space_group_name_H-M 'C 1 2/m 1'
_symmetry_Int_Tables_number 12
loop_
_symmetry_equiv_pos_as_xyz
'x,y,z'
'-x,-y,-z'
'-x,y,-z'
'x,-y,z'
'x+1/2,y+1/2,z'
'-x+1/2,-y+1/2,-z'
'-x+1/2,y+1/2,-z'
'x+1/2,-y+1/2,z'
loop_
_atom_site_label
_atom_site_type_symbol
_atom_site_fract_x
_atom_site_fract_y
_atom_site_fract_z
K1 K 0.000 0.202 0.000
Os1 Os 0.219 0.500 0.443
O1 O 0.000 0.500 0.500
O2 O 0.130 0.000 0.298
O3 O 0.222 0.360 0.257
# Total magnetic moment in μB/atom: 0.000
# N(E_F) in states/eV/atom: 0.085
# V in A^3/atom: 20.98

The winner here is <B>, beating the second structure by 15.7 kJ/mol of atoms.

<A>
# K2OsO3 (PBE, optimized geometry)
data_K2OsO3
_chemical_formula_sum 'K4 Os2 O6'
_cell_length_a 6.1814
_cell_length_b 6.1814
_cell_length_c 5.6704
_cell_angle_alpha 90.00
_cell_angle_beta 90.00
_cell_angle_gamma 120.00
_symmetry_space_group_name_H-M 'P 63/m m c'
_symmetry_Int_Tables_number 194
_symmetry_space_group_name_Hall '-P 6c 2c'
loop_
_atom_site_label
_atom_site_type_symbol
_atom_site_fract_x
_atom_site_fract_y
_atom_site_fract_z
K1 K 0.3333 0.6667 0.0085
Os1 Os 0.0000 0.0000 0.0000
O1 O 0.1394 0.2788 0.7500
# Total magnetic moment in μB/atom: 0.018
# N(E_F) in states/eV/atom: 0.368
# V in A^3/atom: 15.64

<B>
# K2OsO3 (PBE, optimized geometry)
data_K2OsO3
_chemical_formula_sum 'K8 Os4 O12'
_cell_length_a 11.971
_cell_length_b 6.802
_cell_length_c 7.969
_cell_angle_alpha 90.00
_cell_angle_beta 124.65
_cell_angle_gamma 90.00
_symmetry_space_group_name_H-M 'C 1 c 1'
_symmetry_Int_Tables_number 9
loop_
_symmetry_equiv_pos_as_xyz
'x,y,z'
'x,-y,z+1/2'
'x+1/2,y+1/2,z'
'x+1/2,-y+1/2,z+1/2'
loop_
_atom_site_label
_atom_site_type_symbol
_atom_site_fract_x
_atom_site_fract_y
_atom_site_fract_z
K1 K 0.000 0.126 0.000
K2 K 0.339 0.129 0.949
Os1 Os 0.168 0.384 0.472
O1 O 0.010 0.484 0.852
O2 O 0.167 0.118 0.465
O3 O 0.327 0.486 0.098
# Total magnetic moment in μB/atom: 0.333
# V in A^3/atom: 22.24

The winner here is <B>, beating the second structure by 16.1 kJ/mol of atoms.

<A>
# KOs2O6 (PBE, optimized geometry)
data_KOs2O6
_chemical_formula_sum 'K6 Os12 O36'
_cell_length_a 7.2299
_cell_length_b 7.2299
_cell_length_c 17.7360
_cell_angle_alpha 90.00
_cell_angle_beta 90.00
_cell_angle_gamma 120.00
_symmetry_space_group_name_H-M 'R 3 m'
_symmetry_Int_Tables_number 160
_symmetry_space_group_name_Hall 'R 3 -2"'
loop_
_atom_site_label
_atom_site_type_symbol
_atom_site_fract_x
_atom_site_fract_y
_atom_site_fract_z
K1 K 0.0000 0.0000 0.0000
K2 K 0.0000 0.0000 0.2520
Os1 Os 0.0000 0.0000 0.5974
Os2 Os 0.0001 0.5000 0.0974
O1 O 0.0821 0.5411 0.4489
O2 O 0.0860 0.5430 0.2000
O3 O 0.2038 0.4077 0.3230
O4 O 0.2050 0.4100 0.0711
# Total magnetic moment in μB/atom: 0.000
# N(E_F) in states/eV/atom: 0.369
# V in A^3/atom: 14.87

<B>
# KOs2O6 (PBE, optimized geometry)
data_KOs2O6
_chemical_formula_sum 'K2 Os4 O12'
_cell_length_a 5.721
_cell_length_b 6.522
_cell_length_c 7.371
_cell_angle_alpha 65.61
_cell_angle_beta 69.96
_cell_angle_gamma 75.89
_symmetry_space_group_name_H-M 'P -1'
_symmetry_Int_Tables_number 2
loop_
_symmetry_equiv_pos_as_xyz
'x,y,z'
'-x,-y,-z'
loop_
_atom_site_label
_atom_site_type_symbol
_atom_site_fract_x
_atom_site_fract_y
_atom_site_fract_z
K1 K 0.190 0.207 0.385
Os1 Os 0.184 0.858 0.953
Os2 Os 0.369 0.411 0.738
O1 O 0.019 0.389 0.876
O2 O 0.093 0.980 0.176
O3 O 0.302 0.539 0.467
O4 O 0.307 0.715 0.742
O5 O 0.381 0.107 0.761
O6 O 0.479 0.689 0.045
# Total magnetic moment in μB/atom: 0.000
# N(E_F) in states/eV/atom: 0.327
# V in A^3/atom: 12.98

The winner here is <B>, beating the second structure by 0.8 kJ/mol of atoms.

<A>
# KOs2O8 (PBE, optimized geometry)
data_KOs2O8
_chemical_formula_sum 'K2 Os4 O16'
_cell_length_a 12.910
_cell_length_b 7.487
_cell_length_c 7.475
_cell_angle_alpha 90.00
_cell_angle_beta 125.15
_cell_angle_gamma 90.00
_symmetry_space_group_name_H-M 'C 1 2/m 1'
_symmetry_Int_Tables_number 12
loop_
_symmetry_equiv_pos_as_xyz
'x,y,z'
'-x,-y,-z'
'-x,y,-z'
'x,-y,z'
'x+1/2,y+1/2,z'
'-x+1/2,-y+1/2,-z'
'-x+1/2,y+1/2,-z'
'x+1/2,-y+1/2,z'
loop_
_atom_site_label
_atom_site_type_symbol
_atom_site_fract_x
_atom_site_fract_y
_atom_site_fract_z
K1 K 0.000 0.000 0.000
Os1 Os 0.250 0.000 0.749
O1 O 0.154 0.310 0.156
O2 O 0.155 0.000 0.464
O3 O 0.155 0.000 0.844
# Total magnetic moment in μB/atom: 0.099
# N(E_F) in states/eV/atom: 0.640
# V in A^3/atom: 26.85

<B>
# KOs2O8 (PBE, optimized geometry)
data_KOs2O8
_chemical_formula_sum 'K1 Os2 O8'
_cell_length_a 4.729
_cell_length_b 4.729
_cell_length_c 6.800
_cell_angle_alpha 90.00
_cell_angle_beta 90.00
_cell_angle_gamma 90.00
_symmetry_space_group_name_H-M 'P 4/m m m'
_symmetry_Int_Tables_number 123
_symmetry_space_group_name_Hall '-P 4 2'
loop_
_atom_site_label
_atom_site_type_symbol
_atom_site_fract_x
_atom_site_fract_y
_atom_site_fract_z
K1 K 0.000 0.000 0.000
Os1 Os 0.000 0.500 0.500
O1 O 0.250 0.250 0.332
# Total magnetic moment in μB/atom: 0.120
# N(E_F) in states/eV/atom: 0.662
# V in A^3/atom: 13.82

The winner here is <A>, beating the second structure by 67.2 kJ/mol of atoms.

<A>
# K2OsO4 (PBE, optimized geometry)
data_K2OsO4
_chemical_formula_sum 'K4 Os2 O8'
_cell_length_a 3.902
_cell_length_b 3.902
_cell_length_c 13.700
_cell_angle_alpha 90.00
_cell_angle_beta 90.00
_cell_angle_gamma 90.00
_symmetry_space_group_name_H-M 'I 4/m m m'
_symmetry_Int_Tables_number 139
_symmetry_space_group_name_Hall '-I 4 2'
loop_
_atom_site_label
_atom_site_type_symbol
_atom_site_fract_x
_atom_site_fract_y
_atom_site_fract_z
K1 K 0.000 0.000 0.156
Os1 Os 0.000 0.000 0.500
O1 O 0.000 0.000 0.361
O2 O 0.000 0.500 0.000
# Total magnetic moment in μB/atom: 0.169
# N(E_F) in states/eV/atom: 0.314
# V in A^3/atom: 14.90

<B>
# K2OsO4 (PBE, optimized geometry)
data_K2OsO4
_chemical_formula_sum 'K8 Os4 O16'
_cell_length_a 8.963
_cell_length_b 8.990
_cell_length_c 8.066
_cell_angle_alpha 90.00
_cell_angle_beta 90.00
_cell_angle_gamma 90.00
_symmetry_space_group_name_H-M 'F m m 2'
_symmetry_Int_Tables_number 42
_symmetry_space_group_name_Hall 'F 2 -2'
loop_
_atom_site_label
_atom_site_type_symbol
_atom_site_fract_x
_atom_site_fract_y
_atom_site_fract_z
K1 K 0.250 0.250 0.000
Os1 Os 0.000 0.000 0.251
O1 O 0.000 0.190 0.182
O2 O 0.191 0.000 0.319
# Total magnetic moment in μB/atom: 0.000
# V in A^3/atom: 23.21

The winner here is <B>, beating the second structure by 3.6 kJ/mol of atoms.